Record 1
# Na4In2Sn3

A relaxed Na4In2Sn3 crystal (PBE, Alexandria).

Unit cell a=7.7941 b=7.7941 c=7.5912 alpha=106.08 beta=106.08 gamma=33.96
With the nearest neighbours (Å) after each atom.
Sites, in units of the cell vectors:
Na: 0.0441 0.0441 0.3337  3 Na 3.17-3.39, 4 Sn 3.33-3.47, 2 In 3.36-3.46
Na: 0.2891 0.2891 0.6767  3 In 3.27-3.52, 4 Sn 3.28-3.43, 4 Na 3.39-3.45
Na: 0.7109 0.7109 0.3233  3 In 3.27-3.52, 4 Sn 3.28-3.43, 4 Na 3.39-3.45
Na: 0.9559 0.9559 0.6663  3 Na 3.17-3.39, 4 Sn 3.33-3.47, 2 In 3.36-3.46
In: 0.1613 0.1613 0.0006  5 Sn 3.11-3.31, 4 Na 3.27-3.46
In: 0.8387 0.8387 0.9994  5 Sn 3.11-3.31, 4 Na 3.27-3.46
Sn: 0.3633 0.3633 0.2889  3 In 3.11-3.17, 5 Na 3.28-3.47, 1 Sn 3.40
Sn: 0.5000 0.5000 0.0000  4 In 3.31, 6 Na 3.33-3.38, 2 Sn 3.40
Sn: 0.6367 0.6367 0.7111  3 In 3.11-3.17, 5 Na 3.28-3.47, 1 Sn 3.40

Values from the calculation:
**Raw total energy**: -2.66 eV per atom
**Formation energy from the elements**: -136 meV/atom
**DOS at the Fermi energy**: 0.378 states/eV per atom
**Space group**: C2/m
**V**: 246.6 Å³/f.u.

Record 2
# Na2In5Sn3

A relaxed Na2In5Sn3 crystal (PBE, Alexandria).

Unit cell a=10.2495 b=10.2495 c=10.2495 alpha=106.93 beta=85.96 gamma=141.19
With the nearest neighbours (Å) after each atom.
Sites, in units of the cell vectors:
Na: 0.1106 0.2456 0.3562  5 Sn 3.69-3.83, 9 In 3.71-4.09
Na: 0.3894 0.7456 0.1351  5 Sn 3.69-3.83, 9 In 3.71-4.09
Na: 0.6106 0.2544 0.8649  5 Sn 3.69-3.83, 9 In 3.71-4.09
Na: 0.8894 0.7544 0.6438  5 Sn 3.69-3.83, 9 In 3.71-4.09
In: 0.0074 0.7500 0.2574  2 Sn 3.00, 2 In 3.00
In: 0.1294 0.8721 0.0016  3 Sn 2.86-3.02, 2 In 3.00
In: 0.2500 0.7500 0.5000  4 Sn 3.02
In: 0.3706 0.3721 0.7427  3 Sn 2.86-3.02, 2 In 3.00
In: 0.4926 0.7500 0.7426  2 Sn 3.00, 2 In 3.00
In: 0.5074 0.2500 0.2574  2 Sn 3.00, 2 In 3.00
In: 0.6294 0.6279 0.2573  3 Sn 2.86-3.02, 2 In 3.00
In: 0.7500 0.2500 0.5000  4 Sn 3.02
In: 0.8706 0.1279 0.9984  3 Sn 2.86-3.02, 2 In 3.00
In: 0.9926 0.2500 0.7426  2 Sn 3.00, 2 In 3.00
Sn: 0.1221 0.6383 0.7604  5 In 2.86-3.02
Sn: 0.2500 0.2500 0.0000  4 In 3.02
Sn: 0.3779 0.1383 0.5161  5 In 2.86-3.02
Sn: 0.6221 0.8617 0.4839  5 In 2.86-3.02
Sn: 0.7500 0.7500 0.0000  4 In 3.02
Sn: 0.8779 0.3617 0.2396  5 In 2.86-3.02

Values from the calculation:
**Raw total energy**: -2.88 eV per atom
**Formation energy from the elements**: -46 meV/atom
**DOS at the Fermi energy**: 0.251 states/eV per atom
**Space group**: Ibam
**V**: 311.6 Å³/f.u.

Record 3
# Na3In4Sn2

A relaxed Na3In4Sn2 crystal (PBE, Alexandria).

Unit cell a=6.1915 b=6.1915 c=9.8867 alpha=117.37 beta=117.37 gamma=48.69
With the nearest neighbours (Å) after each atom.
Sites, in units of the cell vectors:
Na: 0.0000 0.0000 0.0000  6 In 3.29-3.58, 4 Sn 3.43, 2 Na 3.52
Na: 0.3370 0.3370 0.3221  8 In 3.24-3.62, 3 Sn 3.35-3.48, 2 Na 3.52-3.58
Na: 0.6630 0.6630 0.6779  8 In 3.24-3.62, 3 Sn 3.35-3.48, 2 Na 3.52-3.58
In: 0.0954 0.0954 0.4298  3 Sn 3.05-3.17, 1 In 3.09, 3 Na 3.35-3.39
In: 0.3078 0.3078 0.9785  2 In 2.99, 2 Sn 3.04-3.14, 3 Na 3.24-3.29
In: 0.6922 0.6922 0.0215  2 In 2.99, 2 Sn 3.04-3.14, 3 Na 3.24-3.29
In: 0.9046 0.9046 0.5702  3 Sn 3.05-3.17, 1 In 3.09, 3 Na 3.35-3.39
Sn: 0.3924 0.3924 0.7311  5 In 3.04-3.17, 1 Na 3.35
Sn: 0.6076 0.6076 0.2689  5 In 3.04-3.17, 1 Na 3.35

Values from the calculation:
**Raw total energy**: -2.69 eV per atom
**Distance to the lowest polymorph of the same formula**: 0.0 meV/atom
**Formation energy from the elements**: -146 meV/atom
**DOS at the Fermi energy**: 0.360 states/eV per atom
**Space group**: C2/m
**V**: 245.8 Å³/f.u.

Record 4
# Na3In4Sn2

A relaxed Na3In4Sn2 crystal (PBE, Alexandria).

Unit cell a=9.3568 b=9.3568 c=6.4661 alpha=90.00 beta=90.00 gamma=58.40
With the nearest neighbours (Å) after each atom.
Sites, in units of the cell vectors:
Na: 0.0003 0.9997 0.2500  2 Na 3.23, 8 In 3.44-3.50, 4 Sn 3.51-3.52
Na: 0.9997 0.0003 0.7500  2 Na 3.23, 8 In 3.44-3.50, 4 Sn 3.51-3.52
Na: 0.3325 0.3317 0.2500  2 Na 3.23, 4 Sn 3.40-3.54, 8 In 3.44-3.54
Na: 0.3317 0.3325 0.7500  2 Na 3.23, 4 Sn 3.40-3.54, 8 In 3.44-3.54
Na: 0.6683 0.6675 0.2500  2 Na 3.23, 4 Sn 3.40-3.54, 8 In 3.44-3.54
Na: 0.6675 0.6683 0.7500  2 Na 3.23, 4 Sn 3.40-3.54, 8 In 3.44-3.54
In: 0.0007 0.6677 0.9991  3 Sn 3.09-3.24, 2 In 3.10-3.15, 2 Na 3.44-3.45
In: 0.3324 0.6662 0.0000  4 In 3.05-3.23, 1 Sn 3.09
In: 0.3323 0.9993 0.5009  3 Sn 3.09-3.24, 2 In 3.10-3.15, 2 Na 3.44-3.45
In: 0.3338 0.6676 0.5000  4 In 3.05-3.23, 1 Sn 3.09
In: 0.6662 0.3324 0.5000  4 In 3.05-3.23, 1 Sn 3.09
In: 0.6677 0.0007 0.4991  3 Sn 3.09-3.24, 2 In 3.10-3.15, 2 Na 3.44-3.45
In: 0.6676 0.3338 0.0000  4 In 3.05-3.23, 1 Sn 3.09
In: 0.9993 0.3323 0.0009  3 Sn 3.09-3.24, 2 In 3.10-3.15, 2 Na 3.44-3.45
Sn: 0.0065 0.6629 0.4988  4 In 3.09-3.24, 1 Sn 3.11, 2 Na 3.40-3.41
Sn: 0.3371 0.9935 0.0012  4 In 3.09-3.24, 1 Sn 3.11, 2 Na 3.40-3.41
Sn: 0.6629 0.0065 0.9988  4 In 3.09-3.24, 1 Sn 3.11, 2 Na 3.40-3.41
Sn: 0.9935 0.3371 0.5012  4 In 3.09-3.24, 1 Sn 3.11, 2 Na 3.40-3.41

Values from the calculation:
**Raw total energy**: -2.67 eV per atom
**Distance to the lowest polymorph of the same formula**: 21.1 meV/atom
**Formation energy from the elements**: -125 meV/atom
**DOS at the Fermi energy**: 0.516 states/eV per atom
**Space group**: C2/c
**V**: 241.1 Å³/f.u.

Record 5
# Na7In3Sn

A relaxed Na7In3Sn crystal (PBE, Alexandria).

Unit cell a=6.9255 b=6.9255 c=8.1829 alpha=90.00 beta=90.00 gamma=120.00
With the nearest neighbours (Å) after each atom.
Sites, in units of the cell vectors:
Na: 0.0000 0.0000 0.0000  3 In 3.25, 6 Na 3.47
Na: 0.1678 0.3356 0.3851  2 In 3.26, 6 Na 3.44-3.60, 2 Sn 3.46
Na: 0.1678 0.8322 0.3851  2 In 3.26, 6 Na 3.44-3.60, 2 Sn 3.46
Na: 0.5011 0.0021 0.0198  2 In 3.30, 8 Na 3.44-3.60, 1 Sn 3.55
Na: 0.5011 0.4989 0.0198  2 In 3.30, 8 Na 3.44-3.60, 1 Sn 3.55
Na: 0.6644 0.8322 0.3851  2 In 3.26, 6 Na 3.44-3.60, 2 Sn 3.46
Na: 0.9979 0.4989 0.0198  2 In 3.30, 8 Na 3.44-3.60, 1 Sn 3.55
In: 0.3470 0.1735 0.6950  1 Sn 3.22, 5 Na 3.25-3.30, 4 In 3.32-3.61
In: 0.8265 0.1735 0.6950  1 Sn 3.22, 5 Na 3.25-3.30, 4 In 3.32-3.61
In: 0.8265 0.6530 0.6950  1 Sn 3.22, 5 Na 3.25-3.30, 4 In 3.32-3.61
Sn: 0.6667 0.3333 0.3788  3 In 3.22, 9 Na 3.46-3.55

Values from the calculation:
**Raw total energy**: -1.98 eV per atom
**Formation energy from the elements**: -33 meV/atom
**DOS at the Fermi energy**: 0.442 states/eV per atom
**Space group**: P3m1
**V**: 339.9 Å³/f.u.

Record 6
# Na2In3Sn3

A relaxed Na2In3Sn3 crystal (PBE, Alexandria).

Unit cell a=4.5883 b=4.7363 c=9.6219 alpha=90.00 beta=90.00 gamma=90.00
With the nearest neighbours (Å) after each atom.
Sites, in units of the cell vectors:
Na: 0.0000 0.0000 0.2490  6 Sn 3.30-3.32, 6 In 3.33-3.38
Na: 0.0000 0.0000 0.7510  6 Sn 3.30-3.32, 6 In 3.33-3.38
In: 0.0000 0.5000 0.0000  8 Sn 3.30-3.33, 4 Na 3.37
In: 0.0000 0.5000 0.5000  4 In 3.30, 4 Sn 3.31, 4 Na 3.38
In: 0.5000 0.0000 0.5000  4 In 3.30, 4 Na 3.33, 4 Sn 3.37
Sn: 0.5000 0.0000 0.0000  4 In 3.30, 4 Na 3.32, 4 Sn 3.39
Sn: 0.5000 0.5000 0.2514  4 Na 3.30, 6 In 3.31-3.37, 2 Sn 3.39
Sn: 0.5000 0.5000 0.7486  4 Na 3.30, 6 In 3.31-3.37, 2 Sn 3.39

Values from the calculation:
**Raw total energy**: -2.95 eV per atom
**Formation energy from the elements**: -95 meV/atom
**DOS at the Fermi energy**: 0.505 states/eV per atom
**Space group**: Pmmm
**V**: 209.1 Å³/f.u.

- The highest DOS at the Fermi energy belongs to which entry?
  number 4

- The highest DOS at the Fermi energy belongs to which entry?
  number 4

- Number 6 is which compound?
  Na2In3Sn3